Computed, not measured: a PBEsol-optimized structure of Be2CrBBr at the SCAN level of DFT.

Values from the calculation:
formation energy without anion corrections	1490	meV per atom
SG	P4/mmm, No. 123

```
Be2CrBBr
1.0
-0.277 -3.776 0.187
3.109 -0.389 -3.243
3.250 -0.084 3.126
Cr B Br Be
1 1 1 2
direct
0.000 0.000 0.000 Cr
0.500 0.000 0.000 B
0.500 0.500 0.500 Br
0.000 0.000 0.500 Be
0.000 0.500 0.000 Be
```